The following is a PBE-GGA calculation of a relaxed CoNiGe2Os crystal, from Alexandria via LeMat-Bulk.

Properties
Mass density, g/cm³: 9.37

```
data_CoNiGe2Os
_chemical_formula_sum 'Co1 Ni1 Ge2 Os1'
_space_group_name_H-M_alt 'P 4/m m m'
_space_group_IT_number 123
_space_group_name_Hall '-P 4 2'
_cell_length_a 4.336
_cell_length_b 4.336
_cell_length_c 4.269
_cell_angle_alpha 90.00
_cell_angle_beta 90.00
_cell_angle_gamma 90.00
loop_
_atom_site_label
_atom_site_type_symbol
_atom_site_fract_x
_atom_site_fract_y
_atom_site_fract_z
Co1 Co 0.000 0.000 0.000
Ni1 Ni 0.000 0.000 0.500
Ge1 Ge 0.000 0.500 0.500
Os1 Os 0.500 0.500 0.000
```

=====

The following is a PBE-GGA calculation of a relaxed PaCoNiGe2 crystal, from Alexandria via LeMat-Bulk.

Properties
Mass density, g/cm³: 10.15

```
data_PaCoNiGe2
_chemical_formula_sum 'Pa4 Co4 Ni4 Ge8'
_space_group_name_H-M_alt 'C 1 2/m 1'
_space_group_IT_number 12
_cell_length_a 10.085
_cell_length_b 4.263
_cell_length_c 8.342
_cell_angle_alpha 90.00
_cell_angle_beta 115.66
_cell_angle_gamma 90.00
loop_
_space_group_symop_operation_xyz
'x,y,z'
'-x,-y,-z'
'-x,y,-z'
'x,-y,z'
'x+1/2,y+1/2,z'
'-x+1/2,-y+1/2,-z'
'-x+1/2,y+1/2,-z'
'x+1/2,-y+1/2,z'
loop_
_atom_site_label
_atom_site_type_symbol
_atom_site_fract_x
_atom_site_fract_y
_atom_site_fract_z
Pa1 Pa 0.192 0.000 0.190
Co1 Co 0.061 0.000 0.780
Ni1 Ni 0.079 0.500 0.407
Ge1 Ge 0.067 0.500 0.906
Ge2 Ge 0.151 0.000 0.541
```

=====

The following is a PBE-GGA calculation of a relaxed Pa2CoNi3Ge4 crystal, from Alexandria via LeMat-Bulk.

Properties
Mass density, g/cm³: 10.25

```
data_Pa2CoNi3Ge4
_chemical_formula_sum 'Pa2 Co1 Ni3 Ge4'
_space_group_name_H-M_alt 'P -4 m 2'
_space_group_IT_number 115
_cell_length_a 4.122
_cell_length_b 4.122
_cell_length_c 9.421
_cell_angle_alpha 90.00
_cell_angle_beta 90.00
_cell_angle_gamma 90.00
loop_
_space_group_symop_operation_xyz
'x,y,z'
'y,-x,-z'
'-x,-y,z'
'-y,x,-z'
'-x,y,z'
'-y,-x,-z'
'x,-y,z'
'y,x,-z'
loop_
_atom_site_label
_atom_site_type_symbol
_atom_site_fract_x
_atom_site_fract_y
_atom_site_fract_z
Pa1 Pa 0.000 0.500 0.241
Co1 Co 0.500 0.500 0.000
Ni1 Ni 0.000 0.000 0.000
Ni2 Ni 0.000 0.500 0.625
Ge1 Ge 0.000 0.000 0.500
Ge2 Ge 0.000 0.500 0.871
Ge3 Ge 0.500 0.500 0.500
```

=====

The following is a PBE-GGA calculation of a relaxed CoNiGePd2 crystal, from Alexandria via LeMat-Bulk.

Properties
Mass density, g/cm³: 7.42

```
data_CoNiGePd2
_chemical_formula_sum 'Co1 Ni1 Ge1 Pd2'
_space_group_name_H-M_alt 'P 4/m m m'
_space_group_IT_number 123
_space_group_name_Hall '-P 4 2'
_cell_length_a 4.611
_cell_length_b 4.611
_cell_length_c 4.245
_cell_angle_alpha 90.00
_cell_angle_beta 90.00
_cell_angle_gamma 90.00
loop_
_atom_site_label
_atom_site_type_symbol
_atom_site_fract_x
_atom_site_fract_y
_atom_site_fract_z
Co1 Co 0.000 0.000 0.000
Ni1 Ni 0.000 0.000 0.500
Ge1 Ge 0.500 0.500 0.500
Pd1 Pd 0.000 0.500 0.000
```

=====

The following is a PBE-GGA calculation of a relaxed Pm2CoNi4Ge3 crystal, from Alexandria via LeMat-Bulk.

Properties
Mass density, g/cm³: 8.15

```
data_Pm2CoNi4Ge3
_chemical_formula_sum 'Pm2 Co1 Ni4 Ge3'
_space_group_name_H-M_alt 'P -4 m 2'
_space_group_IT_number 115
_cell_length_a 4.099
_cell_length_b 4.099
_cell_length_c 9.715
_cell_angle_alpha 90.00
_cell_angle_beta 90.00
_cell_angle_gamma 90.00
loop_
_space_group_symop_operation_xyz
'x,y,z'
'y,-x,-z'
'-x,-y,z'
'-y,x,-z'
'-x,y,z'
'-y,-x,-z'
'x,-y,z'
'y,x,-z'
loop_
_atom_site_label
_atom_site_type_symbol
_atom_site_fract_x
_atom_site_fract_y
_atom_site_fract_z
Pm1 Pm 0.000 0.500 0.247
Co1 Co 0.500 0.500 0.000
Ni1 Ni 0.000 0.000 0.500
Ni2 Ni 0.000 0.500 0.875
Ni3 Ni 0.500 0.500 0.500
Ge1 Ge 0.000 0.000 0.000
Ge2 Ge 0.000 0.500 0.629
```

=====

The following is a PBE-GGA calculation of a relaxed PmCoNiGe crystal, from Alexandria via LeMat-Bulk.

Properties
Mass density, g/cm³: 8.57

```
data_PmCoNiGe
_chemical_formula_sum 'Pm4 Co4 Ni4 Ge4'
_space_group_name_H-M_alt 'F -4 3 m'
_space_group_IT_number 216
_space_group_name_Hall 'F -4 2 3'
_cell_length_a 6.380
_cell_length_b 6.380
_cell_length_c 6.380
_cell_angle_alpha 90.00
_cell_angle_beta 90.00
_cell_angle_gamma 90.00
loop_
_atom_site_label
_atom_site_type_symbol
_atom_site_fract_x
_atom_site_fract_y
_atom_site_fract_z
Pm1 Pm 0.000 0.000 0.000
Co1 Co 0.250 0.250 0.750
Ni1 Ni 0.250 0.250 0.250
Ge1 Ge 0.000 0.000 0.500
```

=====

The following is a PBE-GGA calculation of a relaxed Pm2Co3NiGe4 crystal, from Alexandria via LeMat-Bulk.

Properties
Mass density, g/cm³: 8.20

```
data_Pm2Co3NiGe4
_chemical_formula_sum 'Pm2 Co3 Ni1 Ge4'
_space_group_name_H-M_alt 'P -4 m 2'
_space_group_IT_number 115
_cell_length_a 4.140
_cell_length_b 4.140
_cell_length_c 9.645
_cell_angle_alpha 90.00
_cell_angle_beta 90.00
_cell_angle_gamma 90.00
loop_
_space_group_symop_operation_xyz
'x,y,z'
'y,-x,-z'
'-x,-y,z'
'-y,x,-z'
'-x,y,z'
'-y,-x,-z'
'x,-y,z'
'y,x,-z'
loop_
_atom_site_label
_atom_site_type_symbol
_atom_site_fract_x
_atom_site_fract_y
_atom_site_fract_z
Pm1 Pm 0.000 0.500 0.248
Co1 Co 0.000 0.500 0.875
Co2 Co 0.500 0.500 0.500
Ni1 Ni 0.000 0.000 0.500
Ge1 Ge 0.000 0.000 0.000
Ge2 Ge 0.000 0.500 0.630
Ge3 Ge 0.500 0.500 0.000
```

=====

The following is a PBE-GGA calculation of a relaxed PrCoNiGe2 crystal, from Alexandria via LeMat-Bulk.

Properties
Mass density, g/cm³: 7.82

```
data_PrCoNiGe2
_chemical_formula_sum 'Pr2 Co2 Ni2 Ge4'
_space_group_name_H-M_alt 'I -4 m 2'
_space_group_IT_number 119
_space_group_name_Hall 'I -4 -2'
_cell_length_a 4.117
_cell_length_b 4.117
_cell_length_c 10.120
_cell_angle_alpha 90.00
_cell_angle_beta 90.00
_cell_angle_gamma 90.00
loop_
_atom_site_label
_atom_site_type_symbol
_atom_site_fract_x
_atom_site_fract_y
_atom_site_fract_z
Pr1 Pr 0.000 0.000 0.000
Co1 Co 0.000 0.500 0.250
Ni1 Ni 0.000 0.500 0.750
Ge1 Ge 0.000 0.000 0.368
```

=====

The following is a PBE-GGA calculation of a relaxed CoNiGePt crystal, from Alexandria via LeMat-Bulk.

Properties
Mass density, g/cm³: 12.25

```
data_CoNiGePt
_chemical_formula_sum 'Co4 Ni4 Ge4 Pt4'
_space_group_name_H-M_alt 'F -4 3 m'
_space_group_IT_number 216
_space_group_name_Hall 'F -4 2 3'
_cell_length_a 5.935
_cell_length_b 5.935
_cell_length_c 5.935
_cell_angle_alpha 90.00
_cell_angle_beta 90.00
_cell_angle_gamma 90.00
loop_
_atom_site_label
_atom_site_type_symbol
_atom_site_fract_x
_atom_site_fract_y
_atom_site_fract_z
Co1 Co 0.000 0.000 0.000
Ni1 Ni 0.250 0.250 0.250
Ge1 Ge 0.250 0.250 0.750
Pt1 Pt 0.000 0.000 0.500
```

=====

The following is a PBE-GGA calculation of a relaxed Pu2Co3NiGe4 crystal, from Alexandria via LeMat-Bulk.

Properties
Mass density, g/cm³: 10.47

```
data_Pu2Co3NiGe4
_chemical_formula_sum 'Pu2 Co3 Ni1 Ge4'
_space_group_name_H-M_alt 'P -4 m 2'
_space_group_IT_number 115
_cell_length_a 4.067
_cell_length_b 4.067
_cell_length_c 9.727
_cell_angle_alpha 90.00
_cell_angle_beta 90.00
_cell_angle_gamma 90.00
loop_
_space_group_symop_operation_xyz
'x,y,z'
'y,-x,-z'
'-x,-y,z'
'-y,x,-z'
'-x,y,z'
'-y,-x,-z'
'x,-y,z'
'y,x,-z'
loop_
_atom_site_label
_atom_site_type_symbol
_atom_site_fract_x
_atom_site_fract_y
_atom_site_fract_z
Pu1 Pu 0.000 0.500 0.247
Co1 Co 0.000 0.500 0.871
Co2 Co 0.500 0.500 0.500
Ni1 Ni 0.000 0.000 0.500
Ge1 Ge 0.000 0.000 0.000
Ge2 Ge 0.000 0.500 0.630
Ge3 Ge 0.500 0.500 0.000
```

=====

The following is a PBE-GGA calculation of a relaxed Pu2CoNiGe6 crystal, from Alexandria via LeMat-Bulk.

Properties
Mass density, g/cm³: 9.41

```
data_Pu2CoNiGe6
_chemical_formula_sum 'Pu12 Co6 Ni6 Ge36'
_space_group_name_H-M_alt 'R -3 m'
_space_group_IT_number 166
_space_group_name_Hall '-R 3 2"'
_cell_length_a 6.0443
_cell_length_b 6.0443
_cell_length_c 34.8661
_cell_angle_alpha 90.00
_cell_angle_beta 90.00
_cell_angle_gamma 120.00
loop_
_atom_site_label
_atom_site_type_symbol
_atom_site_fract_x
_atom_site_fract_y
_atom_site_fract_z
Pu1 Pu 0.0000 0.0000 0.1135
Pu2 Pu 0.0000 0.0000 0.2954
Co1 Co 0.0000 0.0000 0.4287
Ni1 Ni 0.0000 0.0000 0.0000
Ni2 Ni 0.0000 0.0000 0.5000
Ge1 Ge 0.0381 0.5191 0.2918
Ge2 Ge 0.0527 0.5263 0.8718
```

=====

The following is a PBE-GGA calculation of a relaxed Pu3CoNi2Ge6 crystal, from Alexandria via LeMat-Bulk.

Properties
Mass density, g/cm³: 9.86

```
data_Pu3CoNi2Ge6
_chemical_formula_sum 'Pu3 Co1 Ni2 Ge6'
_space_group_name_H-M_alt 'P -3 m 1'
_space_group_IT_number 164
_space_group_name_Hall '-P 3 2"'
_cell_length_a 5.9423
_cell_length_b 5.9423
_cell_length_c 7.3997
_cell_angle_alpha 90.00
_cell_angle_beta 90.00
_cell_angle_gamma 120.00
loop_
_atom_site_label
_atom_site_type_symbol
_atom_site_fract_x
_atom_site_fract_y
_atom_site_fract_z
Pu1 Pu 0.0000 0.0000 0.0000
Pu2 Pu 0.3333 0.6667 0.6655
Co1 Co 0.0000 0.0000 0.5000
Ni1 Ni 0.3333 0.6667 0.0490
Ge1 Ge 0.1848 0.3696 0.3050
```

=====

| no. | Fermi-level density of states (states/eV per atom) | total magnetic moment (μB/atom) | formation energy (eV per atom) |
| --- | --- | --- | --- |
| 1 | 1.3195 | 0.356 | 1.095 |
| 2 | 0.6501 | 0.000 | -0.468 |
| 3 | 0.7046 | 0.076 | -0.589 |
| 4 | 0.8971 | 0.695 | 0.787 |
| 5 | 0.9454 | 0.220 | -0.562 |
| 6 | 0.7279 | 0.419 | -0.187 |
| 7 | 0.8063 | 0.120 | -0.586 |
| 8 | 0.5413 | 0.254 | -0.624 |
| 9 | 1.5973 | 0.401 | -0.110 |
| 10 | 2.6959 | 1.058 | -0.413 |
| 11 | 1.7171 | 1.065 | -0.266 |
| 12 | 2.7202 | 1.320 | -0.133 |